# 1
# LaPr2Y

A relaxed structure of LaPr2Y (GGA-PBE, Alexandria via LeMat-Bulk).

Lattice parameters (Å, degrees): 3.6964 6.4012 6.3522 99.51 90.00 106.78
With the nearest neighbours (Å) after each atom.
Positions (direct):
La 0.0000 0.0000 0.5000  6 Pr 3.67-3.71, 4 Y 3.67, 2 La 3.70
Pr 0.2486 0.4972 0.2493  6 Pr 3.67-3.70, 3 La 3.67-3.71, 3 Y 3.68-3.70
Pr 0.7514 0.5028 0.7507  6 Pr 3.67-3.70, 3 La 3.67-3.71, 3 Y 3.68-3.70
Y 0.5000 0.0000 0.0000  4 La 3.67, 6 Pr 3.68-3.70, 2 Y 3.70

Energy   -5.22 eV per atom
ΔE to the lowest computed polymorph   0.02 eV per formula unit
DOS at the Fermi energy   6.37 states/eV per cell
Magnetic moment   0.0 μB/f.u.
E_form   1.45 kJ per mole of atoms

# 2
# HfCr2Ni

A relaxed structure of HfCr2Ni (GGA-PBE, Alexandria via LeMat-Bulk).

Lattice parameters (Å, degrees): 3.4862 3.4862 9.9399 79.90 79.90 90.00
With the nearest neighbours (Å) after each atom.
Positions (direct):
Ni 0.5000 0.5000 0.0000  4 Hf 2.47, 4 Cr 2.71
Ni 0.2500 0.7500 0.5000  4 Hf 2.47, 4 Cr 2.71
Hf 0.0000 0.0000 0.0000  4 Ni 2.47, 4 Cr 2.70
Hf 0.7500 0.2500 0.5000  4 Ni 2.47, 4 Cr 2.70
Cr 0.6257 0.1250 0.2500  4 Cr 2.46-2.47, 2 Hf 2.70, 2 Ni 2.71
Cr 0.1243 0.6250 0.2500  4 Cr 2.46-2.47, 2 Hf 2.70, 2 Ni 2.71
Cr 0.3750 0.3743 0.7500  4 Cr 2.46-2.47, 2 Hf 2.70, 2 Ni 2.71
Cr 0.8750 0.8757 0.7500  4 Cr 2.46-2.47, 2 Hf 2.70, 2 Ni 2.71

Energy   -8.29 eV per atom
ΔE to the lowest computed polymorph   0.48 eV per formula unit
DOS at the Fermi energy   10.52 states/eV per cell
Magnetic moment   0.0 μB/f.u.
E_form   44.34 kJ per mole of atoms

# 3
# RbHg2Te2

A relaxed structure of RbHg2Te2 (GGA-PBE, Alexandria via LeMat-Bulk).

Lattice parameters (Å, degrees): 6.7245 8.3045 8.3299 86.09 66.63 66.45
With the nearest neighbours (Å) after each atom.
Positions (direct):
Rb 0.9061 0.7544 0.2481  6 Te 3.89-4.17, 6 Hg 3.92-4.21
Rb 0.0939 0.2456 0.7519  6 Te 3.89-4.17, 6 Hg 3.92-4.21
Hg 0.5475 0.7475 0.9776  4 Te 2.92-3.07
Hg 0.7260 0.2487 0.4809  4 Te 2.92-3.08
Hg 0.4525 0.2525 0.0224  4 Te 2.92-3.07
Hg 0.2740 0.7513 0.5191  4 Te 2.92-3.08
Te 0.5914 0.4539 0.2138  4 Hg 2.92-3.08
Te 0.7469 0.9553 0.7173  4 Hg 2.92-3.07
Te 0.2531 0.0447 0.2827  4 Hg 2.92-3.07
Te 0.4086 0.5461 0.7862  4 Hg 2.92-3.08

Energy   -1.93 eV per atom
ΔE_f (raw)   -0.36 eV/atom
ΔE to the lowest computed polymorph   0.00 eV per formula unit
DOS at the Fermi energy   2.89 states/eV per cell
Magnetic moment   0.0 μB/f.u.